MgTlSb2, relaxed, DFT GGA-PBE; crystal system = cubic; energy relative to the elements, uncorrected = 0.068 eV/atom; DOS(E_F) = 0.571 states/eV per atom; E = -0.110 Ha/atom; E above lowest polymorph = 147 meV per atom
1.0
0.000 3.793 3.793
3.793 0.000 3.793
3.793 3.793 0.000
Mg Tl Sb
1 1 2
direct
0.000 0.000 0.000 Mg
0.500 0.500 0.500 Tl
0.250 0.250 0.250 Sb
0.750 0.750 0.750 Sb

MgTlSb2, relaxed, DFT GGA-PBE; crystal system = orthorhombic; energy relative to the elements, uncorrected = 0.074 eV/atom; DOS(E_F) = 0.437 states/eV per atom; E = -0.109 Ha/atom; E above lowest polymorph = 154 meV per atom
1.0
2.109 -2.527 0.000
2.109 2.527 0.000
0.000 0.000 10.094
Mg Tl Sb
1 1 2
direct
0.000 0.000 0.000 Mg
0.500 0.500 0.762 Tl
0.000 0.000 0.509 Sb
0.500 0.500 0.209 Sb

MgTlSb2, relaxed, DFT GGA-PBE; crystal system = orthorhombic; energy relative to the elements, uncorrected = 0.017 eV/atom; DOS(E_F) = 0.547 states/eV per atom; E = -0.112 Ha/atom; E above lowest polymorph = 96 meV per atom
1.0
-2.016 2.628 5.114
2.016 -2.628 5.114
2.016 2.628 -5.114
Mg Tl Sb
1 1 2
direct
0.000 0.000 0.000 Mg
0.500 0.500 0.000 Tl
0.231 0.731 0.500 Sb
0.769 0.269 0.500 Sb

MgTlSb, relaxed, DFT GGA-PBE; crystal system = monoclinic; energy relative to the elements, uncorrected = -0.214 eV/atom; DOS(E_F) = 0.002 states/eV per atom; E = -0.107 Ha/atom
1.0
4.084 -2.355 0.000
4.084 2.355 0.000
-2.737 0.000 10.194
Mg Tl Sb
2 2 2
direct
0.000 0.000 0.000 Mg
0.729 0.729 0.185 Mg
0.241 0.241 0.724 Tl
0.830 0.830 0.486 Tl
0.098 0.098 0.293 Sb
0.634 0.634 0.903 Sb

MgTlSb, relaxed, DFT GGA-PBE; crystal system = cubic; energy relative to the elements, uncorrected = -0.151 eV/atom; E = -0.105 Ha/atom
1.0
0.000 3.530 3.530
3.530 0.000 3.530
3.530 3.530 0.000
Mg Tl Sb
1 1 1
direct
0.000 0.000 0.000 Mg
0.750 0.750 0.750 Tl
0.250 0.250 0.250 Sb

MgTlSb, relaxed, DFT GGA-PBE; crystal system = orthorhombic; energy relative to the elements, uncorrected = -0.037 eV/atom; DOS(E_F) = 0.483 states/eV per atom; E = -0.100 Ha/atom
1.0
-1.648 2.080 6.075
1.648 -2.080 6.075
1.648 2.080 -6.075
Mg Tl Sb
1 1 1
direct
0.000 0.000 0.000 Mg
0.318 0.318 0.000 Tl
0.622 0.622 0.000 Sb

Mg2TlSb2, relaxed, DFT GGA-PBE; crystal system = tetragonal; energy relative to the elements, uncorrected = -0.170 eV/atom; DOS(E_F) = 0.345 states/eV per atom; E = -0.108 Ha/atom
1.0
8.774 0.000 0.000
0.000 8.774 0.000
0.000 0.000 3.410
Mg Tl Sb
4 2 4
direct
0.131 0.369 0.000 Mg
0.369 0.869 0.000 Mg
0.631 0.131 0.000 Mg
0.869 0.631 0.000 Mg
0.000 0.000 0.000 Tl
0.500 0.500 0.000 Tl
0.165 0.665 0.500 Sb
0.335 0.165 0.500 Sb
0.665 0.835 0.500 Sb
0.835 0.335 0.500 Sb

Mg2TlSbW, relaxed, DFT GGA-PBE; crystal system = tetragonal; energy relative to the elements, uncorrected = 0.608 eV/atom; DOS(E_F) = 0.835 states/eV per atom; E = -0.144 Ha/atom
1.0
5.354 0.000 0.000
0.000 5.354 0.000
0.000 0.000 5.160
Mg Tl Sb W
2 1 1 1
direct
0.000 0.500 0.000 Mg
0.500 0.000 0.000 Mg
0.000 0.000 0.500 Tl
0.500 0.500 0.500 Sb
0.500 0.500 0.000 W

The lowest energy relative to the elements, uncorrected belongs to which entry? number 4